Record 1
This record from Alexandria via LeMat-Bulk describes ZrTl2Pb after structural relaxation. The functional is PBE.

Cell and atoms, written as extended XYZ:
```
8
Lattice="8.5262 0.0000 0.0000 0.0000 8.5262 0.0000 4.2631 4.2631 3.0887" Properties=species:S:1:pos:R:3 pbc="T T T"
Tl 10.6578 10.5191 2.3165
Tl 2.2703 6.3947 0.7722
Tl 6.2560 2.1316 0.7722
Tl 6.3947 6.5334 2.3165
Pb 0.0000 0.0000 0.0000
Pb 8.5262 4.2631 1.5444
Zr 4.2631 4.2631 0.0000
Zr 4.2631 8.5262 1.5444
```

Properties
Formation energy, eV/atom: 0.272
Energy above the lowest structure with this stoichiometry, meV/atom: 245
Uncorrected energy, hartree per atom: -0.146


Record 2
This record from Alexandria via LeMat-Bulk describes MgP after structural relaxation. The functional is PBE.

Cell and atoms, written as extended XYZ:
```
6
Lattice="3.5777 -3.3505 0.0038 3.5777 3.3505 0.0038 0.4348 0.0000 4.8823" Properties=species:S:1:pos:R:3 pbc="T T T"
Mg 3.5777 -0.8474 0.0038
Mg 2.4037 2.0990 1.8261
Mg 1.6088 -1.2516 3.0600
P 3.7951 0.0000 2.4449
P 6.6590 0.0000 4.2900
P 0.9312 0.0000 0.5999
```

Properties
Formation energy, eV/atom: -0.405
Energy above the lowest structure with this stoichiometry, meV/atom: 115
Uncorrected energy, hartree per atom: -0.144


Record 3
This record from Alexandria via LeMat-Bulk describes Na8BiP2 after structural relaxation. The functional is PBE.

Cell and atoms, written as extended XYZ:
```
11
Lattice="4.5232 0.0000 -1.3766 -1.1804 6.8292 -3.8787 0.1680 0.3358 8.6714" Properties=species:S:1:pos:R:3 pbc="T T T"
Na 2.0218 6.1268 -1.4761
Na 2.5325 3.1727 0.2018
Na 1.4889 1.0382 4.8923
Na 0.6074 1.2383 1.9957
Na 3.8776 5.0427 4.6215
Na 2.9034 5.9267 1.4205
Na -0.3668 2.1223 -1.2053
Na 0.9783 3.9923 3.2143
Bi 2.2616 0.0000 -0.6883
P 3.4195 2.3609 3.1163
P 0.0913 4.8042 0.2999
```

Properties
Formation energy, eV/atom: -0.291
Energy above the lowest structure with this stoichiometry, meV/atom: 0
Uncorrected energy, hartree per atom: -0.095